1.
The following is a GGA-PBE calculation of Pr2DyPbC after structural relaxation, from the Open Quantum Materials Database.

a = 5.1802 Å, b = 5.1802 Å, c = 4.9306 Å
α = 90.00°, β = 90.00°, γ = 90.00°
With the nearest neighbours (Å) after each atom.
Space group P4/mmm (No. 123)
Symmetry-distinct sites (fractional):
1 Pr 0.0000 0.5000 0.0000 x2  2 C 2.59
2 Dy 0.0000 0.0000 0.5000 x1  2 C 2.47
3 Pb 0.5000 0.5000 0.5000 x1  8 Pr 3.58, 4 Dy 3.66
4 C 0.0000 0.0000 0.0000 x1  2 Dy 2.47, 4 Pr 2.59

***

2.
The following is a GGA-PBE calculation of Dy2ScPbC after structural relaxation, from the Open Quantum Materials Database.

a = 4.9106 Å, b = 4.9106 Å, c = 4.5969 Å
α = 90.00°, β = 90.00°, γ = 90.00°
With the nearest neighbours (Å) after each atom.
Space group P4/mmm (No. 123)
Symmetry-distinct sites (fractional):
1 Dy 0.0000 0.5000 0.0000 x2  2 C 2.46
2 Sc 0.0000 0.0000 0.5000 x1  2 C 2.30
3 Pb 0.5000 0.5000 0.5000 x1  8 Dy 3.36, 4 Sc 3.47
4 C 0.0000 0.0000 0.0000 x1  2 Sc 2.30, 4 Dy 2.46

***

| no. | total DFT energy (no corrections) (eV/atom) |
| --- | --- |
| 1 | -5.8342 |
| 2 | -6.2677 |